This record from OQMD via LeMat-Bulk describes a geometry-optimized GaFe4SiPt2 structure. The functional is PBE.

```
8
Lattice="4.1981 0.0000 0.0000 0.0000 4.1981 0.0000 0.0000 0.0000 5.9421" Properties=species:S:1:pos:R:3 pbc="T T T"
Fe 2.0991 2.0991 0.0000
Ga 0.0000 0.0000 0.0000
Fe 0.0000 0.0000 2.9710
Pt 2.0991 0.0000 4.4029
Pt 0.0000 2.0991 1.5392
Fe 2.0991 0.0000 1.5176
Si 2.0991 2.0991 2.9710
Fe 0.0000 2.0991 4.4245
```

Results
**E**: -56.08 eV/cell